Here is a relaxed structure of Rb3Pu3TiSe8 from Alexandria. Energies are from PBE.

Output
final energy: -6.81 eV per atom
formation energy without anion corrections: -20.46 eV/f.u.

The structure in CIF format:
```
data_Rb3Pu3TiSe8
_chemical_formula_sum 'Rb9 Pu9 Ti3 Se24'
_cell_length_a 8.2814
_cell_length_b 8.2814
_cell_length_c 24.4290
_cell_angle_alpha 90.00
_cell_angle_beta 90.00
_cell_angle_gamma 120.00
_space_group_name_H-M_alt 'R -3 m'
_space_group_IT_number 166
_space_group_name_Hall '-R 3 2"'
loop_
_atom_site_label
_atom_site_fract_x
_atom_site_fract_y
_atom_site_fract_z
_atom_site_occupancy
Rb1 0.0000 0.5000 0.0000 1
Pu1 0.0000 0.5000 0.5000 1
Ti1 0.0000 0.0000 0.5000 1
Se1 0.0000 0.0000 0.2324 1
Se2 0.0247 0.5124 0.2275 1
```

=====

Here is a relaxed structure of Rb3Pu2TiSe6 from Alexandria. Energies are from PBE.

Output
final energy: -6.36 eV per atom
formation energy without anion corrections: -16.00 eV/f.u.

The structure in CIF format:
```
data_Rb3Pu2TiSe6
_chemical_formula_sum 'Rb6 Pu4 Ti2 Se12'
_cell_length_a 7.205
_cell_length_b 12.482
_cell_length_c 8.323
_cell_angle_alpha 90.00
_cell_angle_beta 106.83
_cell_angle_gamma 90.00
_space_group_name_H-M_alt 'C 1 2/m 1'
_space_group_IT_number 12
_space_group_name_Hall '-C 2y'
loop_
_atom_site_label
_atom_site_fract_x
_atom_site_fract_y
_atom_site_fract_z
_atom_site_occupancy
Rb1 0.000 0.000 0.000 1
Rb2 0.000 0.329 0.000 1
Pu1 0.000 0.166 0.500 1
Ti1 0.000 0.500 0.500 1
Se1 0.219 0.344 0.690 1
Se2 0.247 0.500 0.309 1
```

=====

Here is a relaxed structure of RbPuTiSe4 from Alexandria. Energies are from PBE.

Output
final energy: -6.57 eV per atom
formation energy without anion corrections: -8.87 eV/f.u.

The structure in CIF format:
```
data_RbPuTiSe4
_chemical_formula_sum 'Rb2 Pu2 Ti2 Se8'
_cell_length_a 6.937
_cell_length_b 6.964
_cell_length_c 9.550
_cell_angle_alpha 90.00
_cell_angle_beta 108.49
_cell_angle_gamma 90.00
_space_group_name_H-M_alt 'P 1 21/m 1'
_space_group_IT_number 11
_space_group_name_Hall '-P 2yb'
loop_
_atom_site_label
_atom_site_fract_x
_atom_site_fract_y
_atom_site_fract_z
_atom_site_occupancy
Rb1 0.236 0.250 0.440 1
Pu1 0.281 0.250 0.952 1
Ti1 0.273 0.750 0.168 1
Se1 0.060 0.750 0.921 1
Se2 0.066 0.750 0.326 1
Se3 0.486 0.510 0.794 1
```

=====

Here is a relaxed structure of Rb2PuTlSe4 from Alexandria. Energies are from PBE.

Output
final energy: -5.08 eV per atom
formation energy without anion corrections: -8.06 eV/f.u.

The structure in CIF format:
```
data_Rb2PuTlSe4
_chemical_formula_sum 'Rb2 Pu1 Tl1 Se4'
_cell_length_a 7.701
_cell_length_b 4.325
_cell_length_c 8.295
_cell_angle_alpha 90.00
_cell_angle_beta 107.88
_cell_angle_gamma 90.00
_space_group_name_H-M_alt 'P 1 2/m 1'
_space_group_IT_number 10
_space_group_name_Hall '-P 2y'
loop_
_atom_site_label
_atom_site_fract_x
_atom_site_fract_y
_atom_site_fract_z
_atom_site_occupancy
Rb1 0.000 0.000 0.000 1
Rb2 0.500 0.500 0.000 1
Pu1 0.000 0.500 0.500 1
Tl1 0.500 0.000 0.500 1
Se1 0.211 0.000 0.696 1
Se2 0.246 0.500 0.306 1
```

=====

Here is a relaxed structure of Rb3Pu2TlSe6 from Alexandria. Energies are from PBE.

Output
final energy: -5.76 eV per atom
formation energy without anion corrections: -14.25 eV/f.u.

The structure in CIF format:
```
data_Rb3Pu2TlSe6
_chemical_formula_sum 'Rb6 Pu4 Tl2 Se12'
_cell_length_a 7.649
_cell_length_b 13.215
_cell_length_c 8.269
_cell_angle_alpha 90.00
_cell_angle_beta 107.98
_cell_angle_gamma 90.00
_space_group_name_H-M_alt 'C 1 2/m 1'
_space_group_IT_number 12
_space_group_name_Hall '-C 2y'
loop_
_atom_site_label
_atom_site_fract_x
_atom_site_fract_y
_atom_site_fract_z
_atom_site_occupancy
Rb1 0.000 0.000 0.000 1
Rb2 0.000 0.346 0.000 1
Pu1 0.000 0.168 0.500 1
Tl1 0.000 0.500 0.500 1
Se1 0.195 0.000 0.693 1
Se2 0.247 0.186 0.302 1
```

=====

Here is a relaxed structure of Rb3Tm3PuSe8 from Alexandria. Energies are from PBE.

Output
final energy: -5.53 eV per atom
formation energy without anion corrections: -24.46 eV/f.u.

The structure in CIF format:
```
data_Rb3Tm3PuSe8
_chemical_formula_sum 'Rb9 Tm9 Pu3 Se24'
_cell_length_a 8.3093
_cell_length_b 8.3093
_cell_length_c 24.3940
_cell_angle_alpha 90.00
_cell_angle_beta 90.00
_cell_angle_gamma 120.00
_space_group_name_H-M_alt 'R -3 m'
_space_group_IT_number 166
_space_group_name_Hall '-R 3 2"'
loop_
_atom_site_label
_atom_site_fract_x
_atom_site_fract_y
_atom_site_fract_z
_atom_site_occupancy
Rb1 0.0000 0.5000 0.0000 1
Tm1 0.0000 0.5000 0.5000 1
Pu1 0.0000 0.0000 0.5000 1
Se1 0.0000 0.0000 0.2307 1
Se2 0.9997 0.4999 0.2300 1
```

=====

> Which of these has the highest final energy?

Rb2PuTlSe4